(a)
Density functional theory data (PBE) for an optimized crystal structure of ThPaSi4.

Calculated values
Crystal system: cubic
Density of states at the Fermi level: 7.36 states/eV/cell

a = 5.353 Å, b = 5.353 Å, c = 5.353 Å
α = 60.00°, β = 60.00°, γ = 60.00°
Each line ends with the local moment (μB).
Fractional coordinates of all 6 atoms:
Si  0.126  0.625  0.625  0.00
Si  0.625  0.625  0.126  0.00
Si  0.625  0.126  0.625  0.00
Si  0.625  0.625  0.625  0.00
Pa  0.250  0.250  0.250  0.28
Th  0.000  0.000  0.000  0.10

***

(b)
Density functional theory data (PBE) for an optimized crystal structure of ThPaSi4.

Calculated values
Crystal system: tetragonal
Density of states at the Fermi level: 5.91 states/eV/cell

a = 4.026 Å, b = 4.026 Å, c = 7.790 Å
α = 104.98°, β = 104.98°, γ = 90.00°
Fractional coordinates of all 6 atoms:
Si  0.665  0.165  0.329
Th  0.250  0.750  0.500
Pa  0.000  0.000  0.000
Si  0.835  0.335  0.671
Si  0.580  0.580  0.160
Si  0.420  0.420  0.840

***

Most stable: (b)

***

(a)
Density functional theory data (PBE) for an optimized crystal structure of ThPaSi.

Calculated values
Crystal system: trigonal
Density of states at the Fermi level: 6.71 states/eV/cell

a = 3.399 Å, b = 4.970 Å, c = 4.970 Å
α = 120.00°, β = 90.00°, γ = 90.00°
Each line ends with the local moment (μB).
Fractional coordinates of all 3 atoms:
Th  0.624  0.667  0.333  0.13
Pa  0.071  0.000  0.000  0.45
Si  0.305  0.333  0.667  0.01

***

(b)
Density functional theory data (PBE) for an optimized crystal structure of ThPaSi.

Calculated values
Crystal system: hexagonal
Density of states at the Fermi level: 9.24 states/eV/cell

a = 5.124 Å, b = 5.124 Å, c = 6.320 Å
α = 90.00°, β = 90.00°, γ = 119.99°
Fractional coordinates of all 6 atoms:
Si  0.333  0.667  0.750
Pa  0.333  0.667  0.250
Si  0.667  0.333  0.250
Pa  0.667  0.333  0.750
Th  0.000  0.000  0.000
Th  0.000  0.000  0.500

***

Most stable: (b)